Material: TaReBi3
Method: DFT, PBEsol
State: optimized geometry

```
5
Lattice="5.238 0.000 0.000 0.000 5.238 0.000 0.000 0.000 5.238" Properties=species:S:1:pos:R:3 pbc="T T T"
Re 0.000 0.000 0.000
Bi 0.000 2.619 0.000
Bi 0.000 0.000 2.619
Bi 2.619 0.000 0.000
Ta 2.619 2.619 2.619
```

Properties
Formation energy from the elements   37.65 kcal/mol of atoms
D(E_F)   1.24 states/eV per atom
Calculated density   11.5 g/cm3
Space-group type   Pm-3m, No. 221
E_tot   -6.12 eV/atom

Material: TaGa3
Method: DFT, PBEsol
State: optimized geometry

```
4
Lattice="3.775 0.000 0.000 0.000 3.775 0.000 -1.887 -1.887 4.313" Properties=species:S:1:pos:R:3 pbc="T T T"
Ga 1.887 1.887 0.000
Ga 0.000 1.887 2.156
Ga 1.887 0.000 2.156
Ta 0.000 0.000 0.000
```

Properties
Formation energy from the elements   -5.41 kcal/mol of atoms
D(E_F)   0.19 states/eV per atom
Calculated density   10.5 g/cm3
Space-group type   I4/mmm, No. 139
E_tot   -5.88 eV/atom

Material: InSiHg
Method: DFT, PBEsol
State: optimized geometry

```
3
Lattice="4.610 0.000 0.000 2.305 3.992 0.000 2.305 1.331 3.764" Properties=species:S:1:pos:R:3 pbc="T T T"
Hg 0.000 0.000 0.000
In 4.610 2.661 1.882
Si 6.914 3.992 2.823
```

Properties
D(E_F)   0.52 states/eV per atom
Calculated density   8.2 g/cm3
Space-group type   F-43m, No. 216
E_tot   -2.85 eV/atom

Material: LaSc3P
Method: DFT, PBEsol
State: optimized geometry

```
5
Lattice="5.000 0.000 0.000 0.000 5.000 0.000 0.000 0.000 5.000" Properties=species:S:1:pos:R:3 pbc="T T T"
Sc 0.000 2.500 0.000
Sc 0.000 0.000 2.500
Sc 2.500 0.000 0.000
P 0.000 0.000 0.000
La 2.500 2.500 2.500
```

Properties
Formation energy from the elements   -9.58 kcal/mol of atoms
D(E_F)   1.98 states/eV per atom
Calculated density   4.0 g/cm3
Space-group type   Pm-3m, No. 221
E_tot   -6.61 eV/atom